VASP calculation (PBE with a Hubbard U) on a relaxed structure of PPtWO2.

Computed properties:
Total DFT energy (no corrections), eV/atom: -6.3845
D(E_F), states/eV/f.u.: 3.11
Theoretical density, Mg/m³: 9.48
Crystal system: tetragonal

Cell lengths 3.7617, 3.7617, 5.4675 Å; angles 90.00, 90.00, 90.00 degrees
Closest atoms and distances in Å follow each position.
Space group P4/mmm (No. 123)
Symmetry-distinct sites (fractional):
P  0.0000  0.0000  0.0000 (multiplicity 1)  4 Pt 2.66, 2 W 2.73
Pt  0.5000  0.5000  0.0000 (multiplicity 1)  4 P 2.66
W  0.0000  0.0000  0.5000 (multiplicity 1)  4 O 1.88
O  0.0000  0.5000  0.5000 (multiplicity 2)  2 W 1.88